Entry 1:
VASP calculation (PBE-GGA) on a relaxed structure of TmSnS.

It has space group Pmmn (No. 59, origin choice 2), with a = 4.3170 Å, b = 4.7977 Å, c = 7.8884 Å, α = 90.00°, β = 90.00° and γ = 90.00°. The distinct sites, in fractional coordinates, are Tm at (0.2500, 0.2500, 0.1662), Sn at (0.2500, 0.7500, 0.5012) and S at (0.2500, 0.7500, 0.0288).

The uncorrected formation energy comes out at -1143 meV per atom.

***

Entry 2:
VASP calculation (PBE-GGA) on a relaxed structure of LiC.

It has space group P4/m (No. 83), with a = 9.1026 Å, b = 9.1026 Å, c = 2.5654 Å, α = 90.00°, β = 90.00° and γ = 90.00°. The distinct sites, in fractional coordinates, are Li at (0.0290, 0.6609, 0.0000), Li at (0.2756, 0.3150, 0.5000), C at (0.1702, 0.5341, 0.5000) and C at (0.1802, 0.4684, 0.0000).

For the energy above the most stable polymorph in this dataset, the calculation gives 19.5 kJ per mole of atoms.

***

| no. | VASP energy (eV per cell) |
| --- | --- |
| 1 | -32.1 |
| 2 | -85.6 |